An optimized crystal structure of Cu7Ag2. Source: OQMD via LeMat-Bulk, functional GGA-PBE.

Cell: 8.7068 2.6943 10.9606 Å, 90.00 112.68 90.00°
Space group C2/m (No. 12)
Unique sites:
Cu1 0.0000 0.0000 0.0000 (multiplicity 2)
Cu2 0.0415 0.5000 0.2030 (multiplicity 4)
Cu3 0.1875 0.5000 0.6914 (multiplicity 4)
Cu4 0.2290 0.0000 0.8971 (multiplicity 4)
Ag1 0.1000 0.0000 0.4309 (multiplicity 4)

An optimized crystal structure of Cu3Ag7. Source: OQMD via LeMat-Bulk, functional GGA-PBE.

Cell: 2.8993 2.8993 19.1861 Å, 90.00 90.00 90.00°
Space group P4mm (No. 99)
Unique sites:
Cu1 0.0000 0.0000 0.0000 (multiplicity 1)
Cu2 0.0000 0.0000 0.4079 (multiplicity 1)
Cu3 0.5000 0.5000 0.4822 (multiplicity 1)
Ag1 0.0000 0.0000 0.2040 (multiplicity 1)
Ag2 0.0000 0.0000 0.5757 (multiplicity 1)
Ag3 0.0000 0.0000 0.7959 (multiplicity 1)
Ag4 0.5000 0.5000 0.0937 (multiplicity 1)
Ag5 0.5000 0.5000 0.3143 (multiplicity 1)
Ag6 0.5000 0.5000 0.6861 (multiplicity 1)
Ag7 0.5000 0.5000 0.9065 (multiplicity 1)

Record order is preserved below.
Energy of formation: 64 45 meV per atom
Record order is preserved below.
Excess energy over the best structure of this formula in the dataset: 18 16 meV per atom